# PBE-GGA SrAl2Pb, relaxed
data_SrAl2Pb
_space_group_name_H-M_alt 'P 1'
_space_group_IT_number 1
_cell_length_a 3.7323
_cell_length_b 3.7323
_cell_length_c 7.5408
_cell_angle_alpha 90.00
_cell_angle_beta 90.00
_cell_angle_gamma 90.00
loop_
_space_group_symop_operation_xyz
'x,y,z'
loop_
_atom_site_label
_atom_site_type_symbol
_atom_site_fract_x
_atom_site_fract_y
_atom_site_fract_z
Al1 Al 0.5000 0.5000 0.2164
Al2 Al 0.0000 0.0000 0.0616
Pb1 Pb 0.0000 0.0000 0.4484
Sr1 Sr 0.5000 0.5000 0.7735
# - formation energy (meV per atom) = -91
# - total DFT energy (no corrections) (eV/atom) = -3.310